Below is crystalline Hf2TiNbH at its relaxed geometry, with properties calculated at the PBE-GGA level.

Lattice parameters (Å, degrees): 4.6241 4.6241 3.7945 90.00 90.00 90.00
Space group P4/mmm (No. 123)
Unique sites:
Hf (0.0000, 0.5000, 0.0000)
Ti (0.0000, 0.0000, 0.5000)
Nb (0.5000, 0.5000, 0.5000)
H (0.0000, 0.0000, 0.0000)

Summary:
- distance to the lowest polymorph of the same formula (meV/atom) = 0
- uncorrected energy (eV per atom) = -8.293

***

Below is crystalline PSeCl at its relaxed geometry, with properties calculated at the PBE-GGA level.

Lattice parameters (Å, degrees): 3.3158 9.4500 13.4182 90.00 90.00 90.00
Space group Fmm2 (No. 42)
Unique sites:
P (0.0000, 0.0000, 0.0000)
Se (0.0000, 0.0000, 0.3834)
Cl (0.0000, 0.0000, 0.6427)

Summary:
- E_form (uncorrected) (eV/atom) = 0.099
- uncorrected energy (eV per atom) = -3.481

***

Below is crystalline NdCo2NiH8 at its relaxed geometry, with properties calculated at the PBE-GGA level.

Lattice parameters (Å, degrees): 4.4257 4.4257 16.0429 90.00 90.00 120.00
Space group R-3 (No. 148, hexagonal axes)
Unique sites:
Nd (0.0000, 0.0000, 0.0000)
Co (0.0000, 0.0000, 0.1995)
Ni (0.0000, 0.0000, 0.5000)
H (0.0000, 0.0000, 0.3000)
H (0.0161, 0.7148, 0.1232)

Summary:
- uncorrected energy (eV per atom) = -4.517

***

Below is crystalline PmHo2Pd at its relaxed geometry, with properties calculated at the PBE-GGA level.

Lattice parameters (Å, degrees): 3.5726 3.5726 8.5301 90.00 90.00 90.00
Space group P4/mmm (No. 123)
Unique sites:
Pm (0.0000, 0.0000, 0.0000)
Ho (0.5000, 0.5000, 0.3060)
Pd (0.0000, 0.0000, 0.5000)

Summary:
- distance to the lowest polymorph of the same formula (meV/atom) = 40
- energy relative to the elements (eV per atom) = -0.423
- uncorrected energy (eV per atom) = -5.198

***

Below is crystalline PuMn2Se4 at its relaxed geometry, with properties calculated at the PBE-GGA level.

Lattice parameters (Å, degrees): 8.0687 8.9810 9.4745 90.00 90.00 90.00
Space group I2_12_12_1 (No. 24)
Unique sites:
Pu (0.0000, 0.2500, 0.0288)
Mn (0.0022, 0.5000, 0.7500)
Mn (0.2500, 0.2499, 0.5000)
Se (0.9999, 0.0664, 0.4902)
Se (0.2155, 0.2504, 0.7908)

Summary:
- E_form (uncorrected) (eV/atom) = -0.695
- distance to the lowest polymorph of the same formula (meV/atom) = 99
- uncorrected energy (eV per atom) = -7.353

***

Below is crystalline InNiHg2 at its relaxed geometry, with properties calculated at the PBE-GGA level.

Lattice parameters (Å, degrees): 4.3113 4.3113 8.5533 90.00 90.00 90.00
Space group I-4m2 (No. 119)
Unique sites:
In (0.0000, 0.0000, 0.0000)
Ni (0.0000, 0.5000, 0.7500)
Hg (0.0000, 0.0000, 0.5000)
Hg (0.0000, 0.5000, 0.2500)

Summary:
- energy relative to the elements (eV per atom) = 0.256
- uncorrected energy (eV per atom) = -2.025

***

Which of these has the lowest uncorrected energy?
Hf2TiNbH

***

uncorrected energy of number 2 (PSeCl)?
-3.481 eV per atom

***

Which value of uncorrected energy does entry 6 give?
-2.025 eV per atom

***

Repeat the second record exactly.
Below is crystalline PSeCl at its relaxed geometry, with properties calculated at the PBE-GGA level.

Lattice parameters (Å, degrees): 3.3158 9.4500 13.4182 90.00 90.00 90.00
Space group Fmm2 (No. 42)
Unique sites:
P (0.0000, 0.0000, 0.0000)
Se (0.0000, 0.0000, 0.3834)
Cl (0.0000, 0.0000, 0.6427)

Summary:
- E_form (uncorrected) (eV/atom) = 0.099
- uncorrected energy (eV per atom) = -3.481